Computed, not measured: crystalline TaFeNi2 at its relaxed geometry at the GGA-PBEsol level of DFT.

The value obtained for the volume is 11.98 Å³/atom. The raw total energy is -8.71 eV per atom. For the formation energy, the calculation gives -0.248 eV per atom.

```
4
Lattice="-2.875 -0.768 -1.992 1.748 -2.764 -1.458 -0.715 -0.470 4.432" Properties=species:S:1:pos:R:3 pbc="T T T"
Fe 0.000 0.000 0.000
Ni -2.077 -1.502 0.358
Ni 0.235 -2.500 0.625
Ta -0.563 -1.766 -1.725
```